Computed, not measured: a relaxed GaCuO2F crystal at the PBE level of DFT.

Structure (POSCAR):
```
GaCuO2F
1.0
-1.310 1.656 3.787
0.855 -3.086 1.645
4.003 1.498 0.730
O Cu Ga F
2 1 1 1
direct
0.000 0.000 0.500 O
0.500 0.000 0.000 O
0.500 0.500 0.500 Cu
0.000 0.500 0.000 Ga
0.000 0.000 0.000 F
```

Values from the calculation:
Fermi-level density of states (states/eV per cell): 2.78
Energy (eV/cell): -16.7
Formation energy from raw total energies (kcal/mol of atoms): 10.2
Space group: P4/mmm

***

Computed, not measured: a relaxed GaCuO2F crystal at the PBE level of DFT.

Structure (POSCAR):
```
GaCuO2F
1.0
-1.316 3.085 -1.760
-2.378 0.629 2.880
2.590 2.068 1.687
O Cu Ga F
2 1 1 1
direct
0.000 0.500 0.000 O
0.500 0.000 0.000 O
0.000 0.000 0.000 Cu
0.500 0.500 0.500 Ga
0.000 0.000 0.500 F
```

Values from the calculation:
Fermi-level density of states (states/eV per cell): 1.27
Energy (eV/cell): -21.9
Formation energy from raw total energies (kcal/mol of atoms): -13.7
Space group: P4/mmm

***

Computed, not measured: a relaxed GaCuO2F crystal at the PBE level of DFT.

Structure (POSCAR):
```
GaCuO2F
1.0
-1.715 -1.870 2.870
2.921 -2.474 0.133
1.797 2.258 2.545
O Cu Ga F
2 1 1 1
direct
0.000 0.500 0.000 O
0.500 0.000 0.000 O
0.500 0.500 0.500 Cu
0.000 0.000 0.000 Ga
0.000 0.000 0.500 F
```

Values from the calculation:
Fermi-level density of states (states/eV per cell): 2.55
Energy (eV/cell): -23.6
Formation energy from raw total energies (kcal/mol of atoms): -21.8
Space group: P4/mmm

***

Computed, not measured: a relaxed GaCuPtF2 crystal at the PBE level of DFT.

Structure (POSCAR):
```
GaCuPtF2
1.0
-1.026 -3.050 1.716
2.099 -3.696 -5.314
3.313 -0.272 1.498
Cu Ga Pt F
1 1 1 2
direct
0.000 0.000 0.000 Cu
0.000 0.500 0.000 Ga
0.500 0.500 0.500 Pt
0.000 0.000 0.500 F
0.500 0.000 0.000 F
```

Values from the calculation:
Fermi-level density of states (states/eV per cell): 1.74
Energy (eV/cell): -20.8
Formation energy from raw total energies (kcal/mol of atoms): -18.0
Space group: P4/mmm

***

Computed, not measured: a relaxed RbGa2CuF8 crystal at the PBE level of DFT.

Structure (POSCAR):
```
RbGa2CuF8
1.0
5.446 0.000 0.000
2.723 4.716 0.000
2.723 1.572 7.720
Rb Ga Cu F
1 2 1 8
direct
0.500 0.500 0.500 Rb
0.259 0.259 0.223 Ga
0.741 0.741 0.777 Ga
0.000 0.000 0.000 Cu
0.181 0.181 0.457 F
0.599 0.281 0.162 F
0.819 0.819 0.543 F
0.958 0.599 0.162 F
0.042 0.401 0.838 F
0.281 0.958 0.162 F
0.719 0.042 0.838 F
0.401 0.719 0.838 F
```

Values from the calculation:
Fermi-level density of states (states/eV per cell): 5.41
Energy (eV/cell): -53.8
Formation energy from raw total energies (kcal/mol of atoms): -53.3
Space group: R-3

***

Computed, not measured: a relaxed ScGa2CuF crystal at the PBE level of DFT.

Structure (POSCAR):
```
ScGa2CuF
1.0
4.498 0.000 0.000
0.000 4.257 0.000
0.000 0.000 4.498
Sc Cu Ga F
1 1 2 1
direct
0.000 0.500 0.000 Sc
0.500 0.500 0.500 Cu
0.000 0.000 0.500 Ga
0.500 0.000 0.000 Ga
0.000 0.000 0.000 F
```

Values from the calculation:
Fermi-level density of states (states/eV per cell): 2.23
Energy (eV/cell): -21.1
Formation energy from raw total energies (kcal/mol of atoms): -12.5
Space group: P4/mmm

***

Computed, not measured: a relaxed SrGaCu2F8 crystal at the PBE level of DFT.

Structure (POSCAR):
```
SrGaCu2F8
1.0
4.779 0.125 0.147
0.193 5.066 0.352
0.262 0.516 7.070
Sr Ga Cu F
1 1 2 8
direct
0.000 0.000 0.500 Sr
0.000 0.000 0.000 Ga
0.474 0.480 0.762 Cu
0.526 0.520 0.238 Cu
0.171 0.785 0.216 F
0.706 0.757 0.028 F
0.819 0.204 0.190 F
0.829 0.215 0.784 F
0.294 0.243 0.972 F
0.181 0.796 0.810 F
0.623 0.709 0.540 F
0.377 0.291 0.460 F
```

Values from the calculation:
Fermi-level density of states (states/eV per cell): 5.04
Energy (eV/cell): -56.6
Formation energy from raw total energies (kcal/mol of atoms): -55.1
Space group: P-1

***

Computed, not measured: a relaxed Tl2GaCuF crystal at the PBE level of DFT.

Structure (POSCAR):
```
Tl2GaCuF
1.0
5.478 0.000 0.000
0.000 5.478 0.000
0.000 0.000 4.588
Tl Cu Ga F
2 1 1 1
direct
0.000 0.500 0.000 Tl
0.500 0.000 0.000 Tl
0.000 0.000 0.500 Cu
0.000 0.000 0.000 Ga
0.500 0.500 0.500 F
```

Values from the calculation:
Fermi-level density of states (states/eV per cell): 1.48
Energy (eV/cell): -14.4
Formation energy from raw total energies (kcal/mol of atoms): -3.1
Space group: P4/mmm

***

Computed, not measured: a relaxed Tl2Ga3CuF12 crystal at the PBE level of DFT.

Structure (POSCAR):
```
Tl2Ga3CuF12
1.0
-0.241 5.924 4.199
-6.218 3.739 0.362
-3.852 -0.270 6.154
Tl Ga Cu F
2 3 1 12
direct
0.635 0.635 0.635 Tl
0.365 0.365 0.365 Tl
0.500 0.000 0.000 Ga
0.000 0.500 0.000 Ga
0.000 0.000 0.500 Ga
0.000 0.000 0.000 Cu
0.301 0.301 0.919 F
0.904 0.904 0.373 F
0.373 0.904 0.904 F
0.919 0.301 0.301 F
0.904 0.373 0.904 F
0.301 0.919 0.301 F
0.699 0.699 0.081 F
0.096 0.096 0.627 F
0.627 0.096 0.096 F
0.081 0.699 0.699 F
0.096 0.627 0.096 F
0.699 0.081 0.699 F
```

Values from the calculation:
Energy (eV/cell): -81.3
Formation energy from raw total energies (kcal/mol of atoms): -52.5
Space group: R-3m